Entry 1:
! Tm3Sc5Sb8 | Alexandria via LeMat-Bulk | GGA-PBE | relaxed; values from VASP
&SYSTEM
  ibrav = 0, nat = 16, ntyp = 3
/
ATOMIC_SPECIES
Tm 168.93 Tm.upf
Sc 44.96 Sc.upf
Sb 121.76 Sb.upf
ATOMIC_POSITIONS angstrom
Tm -2.116 -1.222 6.908
Tm -2.116 1.222 13.817
Tm 0.000 2.443 6.908
Sc 0.000 0.000 0.000
Sc -4.232 0.000 10.362
Sc -2.116 1.222 3.454
Sc 2.116 1.222 3.454
Sc 0.000 0.000 10.362
Sb -2.149 -1.241 12.036
Sb 0.000 0.000 5.100
Sb 0.000 -2.481 8.689
Sb -2.149 1.241 8.689
Sb 2.149 -1.241 12.036
Sb 0.000 2.481 12.036
Sb 0.000 0.000 15.625
Sb 2.149 1.241 8.689
CELL_PARAMETERS angstrom
4.232 2.443 6.908
-4.232 2.443 6.908
0.000 -4.887 6.908
! N(E_F): 3.760 states/eV/cell
! ΔE_f (raw): -0.980 eV per atom

***

Entry 2:
! Be2GaPd | Alexandria via LeMat-Bulk | GGA-PBE | relaxed; values from VASP
&SYSTEM
  ibrav = 0, nat = 4, ntyp = 3
/
ATOMIC_SPECIES
Be 9.01 Be.upf
Ga 69.72 Ga.upf
Pd 106.42 Pd.upf
ATOMIC_POSITIONS angstrom
Be 0.000 0.000 0.000
Be 2.232 0.000 3.590
Ga 2.215 0.000 1.201
Pd 0.015 0.000 2.635
CELL_PARAMETERS angstrom
3.327 -1.898 0.000
3.327 1.898 0.000
-2.209 0.000 3.948
! energy: -4.0776 eV per atom
! N(E_F): 1.384 states/eV/cell

***

Entry 3:
! Pm3Dy5Sc2 | Alexandria via LeMat-Bulk | GGA-PBE | relaxed; values from VASP
&SYSTEM
  ibrav = 0, nat = 20, ntyp = 3
/
ATOMIC_SPECIES
Pm 145.00 Pm.upf
Dy 162.50 Dy.upf
Sc 44.96 Sc.upf
ATOMIC_POSITIONS angstrom
Pm -0.302 -1.227 2.762
Pm -1.681 -0.420 7.501
Pm -2.328 2.921 6.691
Pm 4.984 1.288 1.187
Pm 4.338 4.629 0.377
Pm 2.959 5.436 5.117
Dy -3.658 3.793 3.531
Dy -0.972 2.151 1.973
Dy 1.673 0.407 0.419
Dy 1.026 -2.073 5.902
Dy -0.327 4.615 4.310
Dy 2.984 -0.407 3.568
Dy 1.631 6.282 1.976
Dy 0.984 3.801 7.460
Dy 3.628 2.058 5.906
Dy 6.315 0.416 4.347
Sc -1.667 5.449 1.174
Sc 0.363 1.298 5.086
Sc 2.294 2.911 2.793
Sc 4.324 -1.240 6.704
CELL_PARAMETERS angstrom
9.295 0.000 0.000
-3.979 8.408 0.000
-2.660 -4.199 7.878
! energy: -4.9534 eV per atom
! N(E_F): 28.533 states/eV/cell

***

Entry 4:
! CeRuRh2 | Alexandria via LeMat-Bulk | GGA-PBE | relaxed; values from VASP
&SYSTEM
  ibrav = 0, nat = 4, ntyp = 3
/
ATOMIC_SPECIES
Ce 140.12 Ce.upf
Ru 101.07 Ru.upf
Rh 102.91 Rh.upf
ATOMIC_POSITIONS angstrom
Ce 0.000 0.000 0.000
Ru 2.018 2.018 0.000
Rh 0.000 2.018 2.050
Rh 2.018 0.000 2.050
CELL_PARAMETERS angstrom
4.036 0.000 0.000
0.000 4.036 0.000
0.000 0.000 4.100
! N(E_F): 2.650 states/eV/cell
! relative energy among the computed polymorphs: 0 meV per atom

***

Entry 5:
! LiCe2HfP4 | Alexandria via LeMat-Bulk | GGA-PBE | relaxed; values from VASP
&SYSTEM
  ibrav = 0, nat = 8, ntyp = 4
/
ATOMIC_SPECIES
Li 6.94 Li.upf
Ce 140.12 Ce.upf
Hf 178.49 Hf.upf
P 30.97 P.upf
ATOMIC_POSITIONS angstrom
Li 0.000 0.000 0.000
Ce 2.077 0.000 3.258
Ce 3.273 1.977 0.000
Hf -1.196 1.977 3.258
P -0.258 0.000 4.804
P 0.927 1.977 1.661
P 3.227 1.977 4.854
P 4.412 0.000 1.711
CELL_PARAMETERS angstrom
6.546 0.000 0.000
0.000 3.954 0.000
-2.392 0.000 6.515
! energy: -6.8074 eV per atom
! N(E_F): 4.830 states/eV/cell

***

Entry 6:
! AsRuW2 | Alexandria via LeMat-Bulk | GGA-PBE | relaxed; values from VASP
&SYSTEM
  ibrav = 0, nat = 4, ntyp = 3
/
ATOMIC_SPECIES
As 74.92 As.upf
Ru 101.07 Ru.upf
W 183.84 W.upf
ATOMIC_POSITIONS angstrom
As 0.000 0.000 0.000
Ru 1.862 1.862 0.000
W 0.000 1.862 2.233
W 1.862 0.000 2.233
CELL_PARAMETERS angstrom
3.724 0.000 0.000
0.000 3.724 0.000
0.000 0.000 4.465
! energy: -9.5490 eV per atom
! N(E_F): 3.128 states/eV/cell

***

Entry 7:
! LiAcNdGd | Alexandria via LeMat-Bulk | GGA-PBE | relaxed; values from VASP
&SYSTEM
  ibrav = 0, nat = 4, ntyp = 4
/
ATOMIC_SPECIES
Li 6.94 Li.upf
Ac 227.00 Ac.upf
Nd 144.24 Nd.upf
Gd 157.25 Gd.upf
ATOMIC_POSITIONS angstrom
Li 0.000 0.000 0.000
Ac 4.083 4.083 4.083
Nd 2.042 2.042 2.042
Gd 6.125 6.125 6.125
CELL_PARAMETERS angstrom
0.000 4.083 4.083
4.083 0.000 4.083
4.083 4.083 0.000
! energy: -5.9919 eV per atom
! N(E_F): 5.870 states/eV/cell

***

Entry 8:
! Os2RhBr | Alexandria via LeMat-Bulk | GGA-PBE | relaxed; values from VASP
&SYSTEM
  ibrav = 0, nat = 4, ntyp = 3
/
ATOMIC_SPECIES
Os 190.23 Os.upf
Rh 102.91 Rh.upf
Br 79.90 Br.upf
ATOMIC_POSITIONS angstrom
Os 1.568 1.568 1.568
Os 4.703 4.703 4.703
Rh 0.000 0.000 0.000
Br 3.135 3.135 3.135
CELL_PARAMETERS angstrom
0.000 3.135 3.135
3.135 0.000 3.135
3.135 3.135 0.000
! N(E_F): 6.279 states/eV/cell
! ΔE_f (raw): 1.324 eV per atom
! relative energy among the computed polymorphs: 714 meV per atom